Here is a relaxed structure of Li5In3F12 from Alexandria via LeMat-Bulk. Energies are from GGA-PBE.

Cell: 10.768 10.768 10.768 Å, 109.47 109.47 109.47°
Sites, in units of the cell vectors:
1 Li 0.000 0.000 0.000
2 Li 0.000 0.000 0.500
3 Li 0.000 0.500 0.000
4 Li 0.000 0.500 0.500
5 Li 0.125 0.750 0.875
6 Li 0.125 0.875 0.250
7 Li 0.250 0.125 0.875
8 Li 0.250 0.625 0.375
9 Li 0.375 0.250 0.625
10 Li 0.375 0.625 0.750
11 Li 0.500 0.000 0.000
12 Li 0.500 0.000 0.500
13 Li 0.500 0.500 0.000
14 Li 0.500 0.500 0.500
15 Li 0.625 0.375 0.250
16 Li 0.625 0.750 0.375
17 Li 0.750 0.375 0.625
18 Li 0.750 0.875 0.125
19 Li 0.875 0.125 0.750
20 Li 0.875 0.250 0.125
21 In 0.125 0.250 0.375
22 In 0.125 0.375 0.750
23 In 0.250 0.375 0.125
24 In 0.250 0.875 0.625
25 In 0.375 0.125 0.250
26 In 0.375 0.750 0.125
27 In 0.625 0.250 0.875
28 In 0.625 0.875 0.750
29 In 0.750 0.125 0.375
30 In 0.750 0.625 0.875
31 In 0.875 0.625 0.250
32 In 0.875 0.750 0.625
33 F 0.036 0.215 0.129
34 F 0.036 0.321 0.907
35 F 0.086 0.715 0.679
36 F 0.086 0.871 0.407
37 F 0.093 0.629 0.414
38 F 0.093 0.964 0.679
39 F 0.129 0.036 0.215
40 F 0.129 0.593 0.914
41 F 0.179 0.215 0.586
42 F 0.179 0.464 0.593
43 F 0.215 0.129 0.036
44 F 0.215 0.586 0.179
45 F 0.285 0.321 0.914
46 F 0.285 0.464 0.371
47 F 0.321 0.907 0.036
48 F 0.321 0.914 0.285
49 F 0.371 0.285 0.464
50 F 0.371 0.586 0.907
51 F 0.407 0.086 0.871
52 F 0.407 0.821 0.536
53 F 0.414 0.093 0.629
54 F 0.414 0.821 0.785
55 F 0.464 0.371 0.285
56 F 0.464 0.593 0.179
57 F 0.536 0.407 0.821
58 F 0.536 0.629 0.715
59 F 0.586 0.179 0.215
60 F 0.586 0.907 0.371
61 F 0.593 0.179 0.464
62 F 0.593 0.914 0.129
63 F 0.629 0.414 0.093
64 F 0.629 0.715 0.536
65 F 0.679 0.086 0.715
66 F 0.679 0.093 0.964
67 F 0.715 0.536 0.629
68 F 0.715 0.679 0.086
69 F 0.785 0.414 0.821
70 F 0.785 0.871 0.964
71 F 0.821 0.536 0.407
72 F 0.821 0.785 0.414
73 F 0.871 0.407 0.086
74 F 0.871 0.964 0.785
75 F 0.907 0.036 0.321
76 F 0.907 0.371 0.586
77 F 0.914 0.129 0.593
78 F 0.914 0.285 0.321
79 F 0.964 0.679 0.093
80 F 0.964 0.785 0.871

Values from the calculation:
The total moment comes out at 0.0 Bohr magnetons per cell. Its total energy is -4.578 eV/atom. The space group is No. 230. The energy relative to the elements, uncorrected is -2.5658 eV per atom.

Here is a relaxed structure of Li2In2F7 from Alexandria via LeMat-Bulk. Energies are from GGA-PBE.

Cell: 5.469 5.469 5.370 Å, 99.27 99.27 83.90°
Sites, in units of the cell vectors:
1 Li 0.191 0.809 0.000
2 Li 0.809 0.191 0.000
3 In 0.233 0.233 0.512
4 In 0.767 0.767 0.488
5 F 0.038 0.038 0.755
6 F 0.051 0.550 0.754
7 F 0.450 0.949 0.246
8 F 0.500 0.500 0.500
9 F 0.550 0.051 0.754
10 F 0.949 0.450 0.246
11 F 0.962 0.962 0.245

Values from the calculation:
The total moment comes out at 0.0 Bohr magnetons per cell. Its total energy is -4.544 eV/atom. The space group is No. 12. The energy relative to the elements, uncorrected is -2.5070 eV per atom.